The following is a GGA-PBE calculation of a relaxed CaAl2Si2HO9 crystal, from Alexandria via LeMat-Bulk.

Lattice parameters (Å, degrees): 5.851 8.954 13.023 90.00 90.00 90.00
Space group Cmcm (No. 63)
Unique sites:
Ca 0.000 0.180 0.250 (multiplicity 4)
Al 0.250 0.250 0.000 (multiplicity 8)
Si 0.000 0.476 0.631 (multiplicity 8)
H 0.000 0.121 0.750 (multiplicity 4)
O 0.000 0.146 0.554 (multiplicity 8)
O 0.000 0.368 0.064 (multiplicity 8)
O 0.000 0.453 0.250 (multiplicity 4)
O 0.229 0.372 0.619 (multiplicity 16)

Computed properties:
Crystal system: orthorhombic
E_tot in eV/atom: -6.81
Total magnetic moment in μB/cell: 12.19



The following is a GGA-PBE calculation of a relaxed LiHgBr2 crystal, from Alexandria via LeMat-Bulk.

Lattice parameters (Å, degrees): 8.281 7.962 4.430 90.00 119.75 90.00
Space group C2/m (No. 12)
Unique sites:
Li 0.000 0.000 0.000 (multiplicity 2)
Hg 0.000 0.500 0.000 (multiplicity 2)
Br 0.250 0.250 0.000 (multiplicity 4)

Computed properties:
Crystal system: monoclinic
E_tot in eV/atom: -2.11
Formation energy without anion corrections in eV/atom: -0.723
Distance to the lowest polymorph of the same formula in eV/atom: 0.0770
Total magnetic moment in μB/cell: 0.00



The following is a GGA-PBE calculation of a relaxed Li3Zn3Cd2 crystal, from Alexandria via LeMat-Bulk.

Lattice parameters (Å, degrees): 3.175 12.288 7.101 90.00 90.00 90.00
Space group Amm2 (No. 38)
Unique sites:
Li 0.000 0.000 0.000 (multiplicity 2)
Li 0.000 0.187 0.561 (multiplicity 4)
Zn 0.500 0.000 0.592 (multiplicity 2)
Zn 0.500 0.110 0.264 (multiplicity 4)
Cd 0.500 0.166 0.874 (multiplicity 4)

Computed properties:
Crystal system: orthorhombic
E_tot in eV/atom: -1.54
DFT formation energy in meV/atom: -116
Total magnetic moment in μB/cell: 0.00



The following is a GGA-PBE calculation of a relaxed Pm3Dy3Y4 crystal, from Alexandria via LeMat-Bulk.

Lattice parameters (Å, degrees): 3.696 13.384 13.435 90.00 90.00 90.00
Space group Amm2 (No. 38)
Unique sites:
Pm 0.000 0.000 0.000 (multiplicity 2)
Pm 0.000 0.174 0.673 (multiplicity 4)
Dy 0.000 0.000 0.347 (multiplicity 2)
Dy 0.500 0.247 0.422 (multiplicity 4)
Y 0.500 0.000 0.547 (multiplicity 2)
Y 0.500 0.000 0.799 (multiplicity 2)
Y 0.500 0.125 0.175 (multiplicity 4)

Computed properties:
Crystal system: orthorhombic
E_tot in eV/atom: -5.28
DFT formation energy in meV/atom: 108
Total magnetic moment in μB/cell: 0.00



The following is a GGA-PBE calculation of a relaxed TbDyY2 crystal, from Alexandria via LeMat-Bulk.

Lattice parameters (Å, degrees): 5.034 5.034 10.077 90.00 90.00 90.00
Space group I4/mmm (No. 139)
Unique sites:
Tb 0.000 0.000 0.000 (multiplicity 2)
Dy 0.000 0.000 0.500 (multiplicity 2)
Y 0.000 0.500 0.250 (multiplicity 4)

Computed properties:
Crystal system: tetragonal
E_tot in eV/atom: -5.52
DFT formation energy in meV/atom: 21
Distance to the lowest polymorph of the same formula in eV/atom: 0.0125
Total magnetic moment in μB/cell: 0.00



The following is a GGA-PBE calculation of a relaxed SrCaRuO4 crystal, from Alexandria via LeMat-Bulk.

Lattice parameters (Å, degrees): 3.881 3.881 12.572 90.00 90.00 90.00
Space group I4mm (No. 107)
Unique sites:
Sr 0.000 0.000 0.000 (multiplicity 2)
Ca 0.000 0.000 0.703 (multiplicity 2)
Ru 0.000 0.000 0.351 (multiplicity 2)
O 0.000 0.000 0.188 (multiplicity 2)
O 0.000 0.000 0.521 (multiplicity 2)
O 0.000 0.500 0.347 (multiplicity 4)

Computed properties:
Crystal system: tetragonal
E_tot in eV/atom: -6.74
Formation energy without anion corrections in eV/atom: -2.059
Total magnetic moment in μB/cell: 2.82



The following is a GGA-PBE calculation of a relaxed LiTeO3 crystal, from Alexandria via LeMat-Bulk.

Lattice parameters (Å, degrees): 5.219 5.228 9.267 90.00 90.00 90.00
Space group Pnn2 (No. 34)
Unique sites:
Li 0.000 0.000 0.000 (multiplicity 2)
Li 0.000 0.500 0.318 (multiplicity 2)
Te 0.000 0.000 0.570 (multiplicity 2)
Te 0.000 0.500 0.763 (multiplicity 2)
O 0.202 0.321 0.903 (multiplicity 4)
O 0.209 0.340 0.607 (multiplicity 4)
O 0.210 0.816 0.731 (multiplicity 4)

Computed properties:
Crystal system: orthorhombic
E_tot in eV/atom: -5.32
Formation energy without anion corrections in eV/atom: -1.333
Total magnetic moment in μB/cell: 0.00



The following is a GGA-PBE calculation of a relaxed Na2MnGaSe5 crystal, from Alexandria via LeMat-Bulk.

Lattice parameters (Å, degrees): 3.613 18.136 13.394 90.00 90.00 90.00
Space group Cmc2_1 (No. 36)
Unique sites:
Na 0.000 0.101 0.000 (multiplicity 4)
Na 0.000 0.128 0.647 (multiplicity 4)
Mn 0.000 0.223 0.376 (multiplicity 4)
Ga 0.000 0.424 0.772 (multiplicity 4)
Se 0.000 0.075 0.393 (multiplicity 4)
Se 0.000 0.269 0.002 (multiplicity 4)
Se 0.000 0.290 0.745 (multiplicity 4)
Se 0.000 0.352 0.335 (multiplicity 4)
Se 0.000 0.494 0.624 (multiplicity 4)

Computed properties:
Crystal system: orthorhombic
E_tot in eV/atom: -4.22
Formation energy without anion corrections in eV/atom: -0.637
Total magnetic moment in μB/cell: 11.03